Here is a relaxed structure of PaCrPdO6 from Alexandria. Energies are from PBE+U.

## Properties
As for the final energy: -7.6928 eV per atom.

Cell: 5.3015 5.3015 8.9686 Å, 90.00 90.00 120.00°
Fractional coordinates of all 18 atoms:
Pa: 0.3333 0.6667 0.2500
Pa: 0.6667 0.3333 0.7500
Cr: 0.0000 0.0000 0.0000
Cr: 0.0000 0.0000 0.5000
Pd: 0.3333 0.6667 0.7500
Pd: 0.6667 0.3333 0.2500
O: 0.0170 0.3346 0.6231
O: 0.0170 0.6824 0.8769
O: 0.3176 0.3346 0.8769
O: 0.3176 0.9830 0.6231
O: 0.3346 0.0170 0.1231
O: 0.3346 0.3176 0.3769
O: 0.6654 0.6824 0.6231
O: 0.6654 0.9830 0.8769
O: 0.6824 0.0170 0.3769
O: 0.6824 0.6654 0.1231
O: 0.9830 0.3176 0.1231
O: 0.9830 0.6654 0.3769